1.
Compound: AlZn4Ga2
Source: the Alexandria database
Functional: PBE
Structure: optimized geometry

```
data_AlZn4Ga2
_space_group_name_H-M_alt 'I 4/m m m'
_space_group_IT_number 139
_space_group_name_Hall '-I 4 2'
_cell_length_a 4.9501
_cell_length_b 4.9501
_cell_length_c 12.8137
_cell_angle_alpha 90.00
_cell_angle_beta 90.00
_cell_angle_gamma 90.00
loop_
_atom_site_label
_atom_site_fract_x
_atom_site_fract_y
_atom_site_fract_z
Al1 0.0000 0.0000 0.0000
Zn1 0.0000 0.0000 0.1970
Zn2 0.0000 0.5000 0.0000
Ga1 0.0000 0.0000 0.3927
```

Output
- raw total energy (eV/atom) = -1.75
- energy of formation from the pure elements (eV per atom) = 0.37
- density (g cm⁻³) = 4.53
- polymorph energy (0 for the lowest one) (eV/atom) = 0.307

=====

2.
Compound: TlTe2Cl
Source: the Alexandria database
Functional: PBE
Structure: optimized geometry

```
data_TlTe2Cl
_space_group_name_H-M_alt 'F m -3 m'
_space_group_IT_number 225
_space_group_name_Hall '-F 4 2 3'
_cell_length_a 7.5807
_cell_length_b 7.5807
_cell_length_c 7.5807
_cell_angle_alpha 90.00
_cell_angle_beta 90.00
_cell_angle_gamma 90.00
loop_
_atom_site_label
_atom_site_fract_x
_atom_site_fract_y
_atom_site_fract_z
Tl1 0.0000 0.0000 0.0000
Te1 0.2500 0.2500 0.2500
Cl1 0.0000 0.0000 0.5000
```

Output
- raw total energy (eV/atom) = -2.45
- E_form (uncorrected) (eV per atom) = 0.169
- density (g cm⁻³) = 7.55
- polymorph energy (0 for the lowest one) (eV/atom) = 0.571

=====

3.
Compound: Ca2AlCuO5
Source: the Alexandria database
Functional: PBE
Structure: optimized geometry

```
data_Ca2AlCuO5
_space_group_name_H-M_alt 'I m a 2'
_space_group_IT_number 46
_cell_length_a 14.5975
_cell_length_b 5.6480
_cell_length_c 5.2630
_cell_angle_alpha 90.00
_cell_angle_beta 90.00
_cell_angle_gamma 90.00
loop_
_space_group_symop_operation_xyz
'x,y,z'
'-x,-y,z'
'-x+1/2,y,z'
'x+1/2,-y,z'
'x+1/2,y+1/2,z+1/2'
'-x+1/2,-y+1/2,z+1/2'
'-x,y+1/2,z+1/2'
'x,-y+1/2,z+1/2'
loop_
_atom_site_label
_atom_site_fract_x
_atom_site_fract_y
_atom_site_fract_z
Ca1 0.1084 0.0342 0.0000
Al1 0.2500 0.5797 0.9658
Cu1 0.0000 0.0000 0.5116
O1 0.0158 0.7447 0.7575
O2 0.1482 0.0721 0.5419
O3 0.2500 0.6404 0.6286
```

Output
- raw total energy (eV/atom) = -6.37
- E_form (uncorrected) (eV per atom) = -2.301
- density (g cm⁻³) = 3.84
- polymorph energy (0 for the lowest one) (eV/atom) = 0.000

=====

4.
Compound: Pm6YTh2
Source: the Alexandria database
Functional: PBE
Structure: optimized geometry

```
data_Pm6YTh2
_space_group_name_H-M_alt 'P -6 m 2'
_space_group_IT_number 187
_space_group_name_Hall 'P -6 2'
_cell_length_a 3.6143
_cell_length_b 3.6143
_cell_length_c 26.9857
_cell_angle_alpha 90.00
_cell_angle_beta 90.00
_cell_angle_gamma 120.00
loop_
_atom_site_label
_atom_site_fract_x
_atom_site_fract_y
_atom_site_fract_z
Pm1 0.0000 0.0000 0.0634
Pm2 0.0000 0.0000 0.2799
Pm3 0.3333 0.6667 0.3922
Y1 0.0000 0.0000 0.5000
Th1 0.3333 0.6667 0.1706
```

Output
- raw total energy (eV/atom) = -5.46
- energy of formation from the pure elements (eV per atom) = 0.07
- density (g cm⁻³) = 7.74

=====

5.
Compound: SrTa2Re
Source: the Alexandria database
Functional: PBE
Structure: optimized geometry

```
data_SrTa2Re
_space_group_name_H-M_alt 'R -3 m'
_space_group_IT_number 166
_space_group_name_Hall '-R 3 2"'
_cell_length_a 3.1899
_cell_length_b 3.1899
_cell_length_c 29.5595
_cell_angle_alpha 90.00
_cell_angle_beta 90.00
_cell_angle_gamma 120.00
loop_
_atom_site_label
_atom_site_fract_x
_atom_site_fract_y
_atom_site_fract_z
Sr1 0.0000 0.0000 0.0000
Ta1 0.0000 0.0000 0.2321
Re1 0.0000 0.0000 0.5000
```

Output
- raw total energy (eV/atom) = -8.75
- energy of formation from the pure elements (eV per atom) = 0.71
- density (g cm⁻³) = 12.16
- polymorph energy (0 for the lowest one) (eV/atom) = 0.229

=====

6.
Compound: KSb2TeRh
Source: the Alexandria database
Functional: PBE
Structure: optimized geometry

```
data_KSb2TeRh
_space_group_name_H-M_alt 'P 4/m m m'
_space_group_IT_number 123
_space_group_name_Hall '-P 4 2'
_cell_length_a 5.0958
_cell_length_b 5.0958
_cell_length_c 5.9852
_cell_angle_alpha 90.00
_cell_angle_beta 90.00
_cell_angle_gamma 90.00
loop_
_atom_site_label
_atom_site_fract_x
_atom_site_fract_y
_atom_site_fract_z
K1 0.0000 0.0000 0.0000
Sb1 0.0000 0.5000 0.5000
Te1 0.5000 0.5000 0.0000
Rh1 0.5000 0.5000 0.5000
```

Output
- raw total energy (eV/atom) = -4.08
- E_form (uncorrected) (eV per atom) = -0.108
- density (g cm⁻³) = 5.48
- polymorph energy (0 for the lowest one) (eV/atom) = 0.000

=====

7.
Compound: MnAgB2Te
Source: the Alexandria database
Functional: PBE
Structure: optimized geometry

```
data_MnAgB2Te
_space_group_name_H-M_alt 'P 4/m m m'
_space_group_IT_number 123
_space_group_name_Hall '-P 4 2'
_cell_length_a 4.4069
_cell_length_b 4.4069
_cell_length_c 5.2422
_cell_angle_alpha 90.00
_cell_angle_beta 90.00
_cell_angle_gamma 90.00
loop_
_atom_site_label
_atom_site_fract_x
_atom_site_fract_y
_atom_site_fract_z
Mn1 0.0000 0.0000 0.0000
Ag1 0.5000 0.5000 0.0000
B1 0.0000 0.5000 0.5000
Te1 0.5000 0.5000 0.5000
```

Output
- raw total energy (eV/atom) = -3.26
- E_form (uncorrected) (eV per atom) = 2.441
- density (g cm⁻³) = 5.09

=====

8.
Compound: HfZrAlCu
Source: the Alexandria database
Functional: PBE
Structure: optimized geometry

```
data_HfZrAlCu
_space_group_name_H-M_alt 'F -4 3 m'
_space_group_IT_number 216
_space_group_name_Hall 'F -4 2 3'
_cell_length_a 6.6369
_cell_length_b 6.6369
_cell_length_c 6.6369
_cell_angle_alpha 90.00
_cell_angle_beta 90.00
_cell_angle_gamma 90.00
loop_
_atom_site_label
_atom_site_fract_x
_atom_site_fract_y
_atom_site_fract_z
Hf1 0.0000 0.0000 0.0000
Zr1 0.0000 0.0000 0.5000
Al1 0.2500 0.2500 0.7500
Cu1 0.2500 0.2500 0.2500
```

Output
- raw total energy (eV/atom) = -6.81
- energy of formation from the pure elements (eV per atom) = -0.23
- density (g cm⁻³) = 8.18

=====

9.
Compound: Sr2MgGa4Ir3
Source: the Alexandria database
Functional: PBE
Structure: optimized geometry

```
data_Sr2MgGa4Ir3
_space_group_name_H-M_alt 'P -4 m 2'
_space_group_IT_number 115
_cell_length_a 4.2871
_cell_length_b 4.2871
_cell_length_c 11.0269
_cell_angle_alpha 90.00
_cell_angle_beta 90.00
_cell_angle_gamma 90.00
loop_
_space_group_symop_operation_xyz
'x,y,z'
'y,-x,-z'
'-x,-y,z'
'-y,x,-z'
'-x,y,z'
'-y,-x,-z'
'x,-y,z'
'y,x,-z'
loop_
_atom_site_label
_atom_site_fract_x
_atom_site_fract_y
_atom_site_fract_z
Sr1 0.0000 0.5000 0.2386
Mg1 0.0000 0.0000 0.5000
Ga1 0.0000 0.0000 0.0000
Ga2 0.0000 0.5000 0.6416
Ga3 0.5000 0.5000 0.0000
Ir1 0.0000 0.5000 0.8730
Ir2 0.5000 0.5000 0.5000
```

Output
- raw total energy (eV/atom) = -4.85
- energy of formation from the pure elements (eV per atom) = -0.48
- density (g cm⁻³) = 8.64

=====

10.
Compound: Ho5NiBi2
Source: the Alexandria database
Functional: PBE
Structure: optimized geometry

```
data_Ho5NiBi2
_space_group_name_H-M_alt 'C m c m'
_space_group_IT_number 63
_space_group_name_Hall '-C 2c 2'
_cell_length_a 5.3620
_cell_length_b 16.1637
_cell_length_c 13.8241
_cell_angle_alpha 90.00
_cell_angle_beta 90.00
_cell_angle_gamma 90.00
loop_
_atom_site_label
_atom_site_fract_x
_atom_site_fract_y
_atom_site_fract_z
Ho1 0.0000 0.0621 0.1195
Ho2 0.0000 0.2746 0.0939
Ho3 0.0000 0.2996 0.7500
Ni1 0.0000 0.1770 0.2500
Bi1 0.0000 0.1321 0.5913
```

Output
- raw total energy (eV/atom) = -4.70
- energy of formation from the pure elements (eV per atom) = -0.14
- density (g cm⁻³) = 7.21
- polymorph energy (0 for the lowest one) (eV/atom) = 0.433

=====

11.
Compound: Ir2RuAu
Source: the Alexandria database
Functional: PBE
Structure: optimized geometry

```
data_Ir2RuAu
_space_group_name_H-M_alt 'R 3 m'
_space_group_IT_number 160
_space_group_name_Hall 'R 3 -2"'
_cell_length_a 2.7732
_cell_length_b 2.7732
_cell_length_c 27.4328
_cell_angle_alpha 90.00
_cell_angle_beta 90.00
_cell_angle_gamma 120.00
loop_
_atom_site_label
_atom_site_fract_x
_atom_site_fract_y
_atom_site_fract_z
Ir1 0.0000 0.0000 0.0000
Ir2 0.0000 0.0000 0.2529
Ru1 0.0000 0.0000 0.5093
Au1 0.0000 0.0000 0.7550
```

Output
- raw total energy (eV/atom) = -7.36
- energy of formation from the pure elements (eV per atom) = 0.21
- density (g cm⁻³) = 18.61
- polymorph energy (0 for the lowest one) (eV/atom) = 0.051

=====

12.
Compound: CsTl2ClF2
Source: the Alexandria database
Functional: PBE
Structure: optimized geometry

```
data_CsTl2ClF2
_space_group_name_H-M_alt 'P 1 21/m 1'
_space_group_IT_number 11
_cell_length_a 7.6850
_cell_length_b 6.6036
_cell_length_c 8.1165
_cell_angle_alpha 90.00
_cell_angle_beta 109.66
_cell_angle_gamma 90.00
loop_
_space_group_symop_operation_xyz
'x,y,z'
'-x,-y,-z'
'-x,y+1/2,-z'
'x,-y+1/2,z'
loop_
_atom_site_label
_atom_site_fract_x
_atom_site_fract_y
_atom_site_fract_z
Cs1 0.2014 0.2500 0.4653
Tl1 0.0796 0.2500 0.9391
Tl2 0.3794 0.7500 0.8731
Cl1 0.3295 0.7500 0.2335
F1 0.1336 0.5051 0.7428
```

Output
- raw total energy (eV/atom) = -3.68
- E_form (uncorrected) (eV per atom) = -1.814
- density (g cm⁻³) = 5.27

=====

13.
Compound: RbYPb
Source: the Alexandria database
Functional: PBE
Structure: optimized geometry

```
data_RbYPb
_space_group_name_H-M_alt 'P -1'
_space_group_IT_number 2
_cell_length_a 3.5542
_cell_length_b 6.9798
_cell_length_c 10.0355
_cell_angle_alpha 72.07
_cell_angle_beta 89.93
_cell_angle_gamma 75.36
loop_
_space_group_symop_operation_xyz
'x,y,z'
'-x,-y,-z'
loop_
_atom_site_label
_atom_site_fract_x
_atom_site_fract_y
_atom_site_fract_z
Rb1 0.1466 0.2013 0.1116
Y1 0.1250 0.2501 0.5073
Pb1 0.4488 0.6051 0.2577
```

Output
- raw total energy (eV/atom) = -3.83
- energy of formation from the pure elements (eV per atom) = -0.12
- density (g cm⁻³) = 5.55
- polymorph energy (0 for the lowest one) (eV/atom) = 0.167

=====

14.
Compound: Mg2AlSb
Source: the Alexandria database
Functional: PBE
Structure: optimized geometry

```
data_Mg2AlSb
_space_group_name_H-M_alt 'P 4/m m m'
_space_group_IT_number 123
_space_group_name_Hall '-P 4 2'
_cell_length_a 3.1836
_cell_length_b 3.1836
_cell_length_c 8.7448
_cell_angle_alpha 90.00
_cell_angle_beta 90.00
_cell_angle_gamma 90.00
loop_
_atom_site_label
_atom_site_fract_x
_atom_site_fract_y
_atom_site_fract_z
Mg1 0.0000 0.0000 0.2326
Al1 0.5000 0.5000 0.0000
Sb1 0.5000 0.5000 0.5000
```

Output
- raw total energy (eV/atom) = -2.81
- E_form (uncorrected) (eV per atom) = -0.045
- density (g cm⁻³) = 3.70
- polymorph energy (0 for the lowest one) (eV/atom) = 0.026

=====

15.
Compound: La3SnAsCl
Source: the Alexandria database
Functional: PBE
Structure: optimized geometry

```
data_La3SnAsCl
_space_group_name_H-M_alt 'P 1 21/m 1'
_space_group_IT_number 11
_cell_length_a 7.6205
_cell_length_b 4.4106
_cell_length_c 11.4855
_cell_angle_alpha 90.00
_cell_angle_beta 101.77
_cell_angle_gamma 90.00
loop_
_space_group_symop_operation_xyz
'x,y,z'
'-x,-y,-z'
'-x,y+1/2,-z'
'x,-y+1/2,z'
loop_
_atom_site_label
_atom_site_fract_x
_atom_site_fract_y
_atom_site_fract_z
La1 0.0428 0.2500 0.1584
La2 0.2294 0.7500 0.4993
La3 0.4532 0.7500 0.8494
Sn1 0.1540 0.2500 0.6898
As1 0.2662 0.7500 0.0633
Cl1 0.3735 0.2500 0.3677
```

Output
- raw total energy (eV/atom) = -5.54
- E_form (uncorrected) (eV per atom) = -1.324
- density (g cm⁻³) = 5.68

=====

16.
Compound: NbRe2Os2
Source: the Alexandria database
Functional: PBE
Structure: optimized geometry

```
data_NbRe2Os2
_space_group_name_H-M_alt 'P 4/m b m'
_space_group_IT_number 127
_space_group_name_Hall '-P 4 2ab'
_cell_length_a 7.5679
_cell_length_b 7.5679
_cell_length_c 2.7850
_cell_angle_alpha 90.00
_cell_angle_beta 90.00
_cell_angle_gamma 90.00
loop_
_atom_site_label
_atom_site_fract_x
_atom_site_fract_y
_atom_site_fract_z
Nb1 0.0000 0.0000 0.0000
Re1 0.1235 0.3765 0.0000
Os1 0.1711 0.6711 0.5000
```

Output
- raw total energy (eV/atom) = -11.42
- energy of formation from the pure elements (eV per atom) = 0.07
- density (g cm⁻³) = 17.61
- polymorph energy (0 for the lowest one) (eV/atom) = 0.023

=====

17.
Compound: MoOs2
Source: the Alexandria database
Functional: PBE
Structure: optimized geometry

```
data_MoOs2
_space_group_name_H-M_alt 'I m m a'
_space_group_IT_number 74
_space_group_name_Hall '-I 2b 2'
_cell_length_a 2.7468
_cell_length_b 4.2035
_cell_length_c 16.9608
_cell_angle_alpha 90.00
_cell_angle_beta 90.00
_cell_angle_gamma 90.00
loop_
_atom_site_label
_atom_site_fract_x
_atom_site_fract_y
_atom_site_fract_z
Mo1 0.0000 0.2500 0.1161
Os1 0.0000 0.2500 0.5370
Os2 0.0000 0.2500 0.6866
```

Output
- raw total energy (eV/atom) = -10.68
- energy of formation from the pure elements (eV per atom) = 0.42
- density (g cm⁻³) = 16.16
- polymorph energy (0 for the lowest one) (eV/atom) = 0.434

=====

18.
Compound: MgO
Source: the Alexandria database
Functional: PBE
Structure: optimized geometry

```
data_MgO
_space_group_name_H-M_alt 'P m m n'
_space_group_IT_number 59
_cell_length_a 3.3838
_cell_length_b 10.2634
_cell_length_c 4.6128
_cell_angle_alpha 90.00
_cell_angle_beta 90.00
_cell_angle_gamma 90.00
loop_
_space_group_symop_operation_xyz
'x,y,z'
'-x,-y,-z'
'-x+1/2,-y+1/2,z'
'x+1/2,y+1/2,-z'
'x+1/2,-y,-z'
'-x+1/2,y,z'
'-x,y+1/2,-z'
'x,-y+1/2,z'
loop_
_atom_site_label
_atom_site_fract_x
_atom_site_fract_y
_atom_site_fract_z
Mg1 0.2500 0.0984 0.1002
Mg2 0.2500 0.7500 0.3944
O1 0.2500 0.2500 0.3685
O2 0.2500 0.5974 0.1314
```

Output
- raw total energy (eV/atom) = -5.80
- E_form (uncorrected) (eV per atom) = -2.523
- density (g cm⁻³) = 2.51

=====

19.
Compound: NaPuBr3
Source: the Alexandria database
Functional: PBE
Structure: optimized geometry

```
data_NaPuBr3
_space_group_name_H-M_alt 'P 1'
_space_group_IT_number 1
_cell_length_a 7.4472
_cell_length_b 7.4530
_cell_length_c 7.7612
_cell_angle_alpha 115.34
_cell_angle_beta 115.26
_cell_angle_gamma 95.40
loop_
_space_group_symop_operation_xyz
'x,y,z'
loop_
_atom_site_label
_atom_site_fract_x
_atom_site_fract_y
_atom_site_fract_z
Na1 0.0000 0.0000 0.0000
Na2 0.3348 0.3353 0.8373
Pu1 0.3190 0.6847 0.4972
Pu2 0.6504 0.0164 0.3407
Br1 0.0166 0.8954 0.5874
Br2 0.0220 0.3131 0.4189
Br3 0.2140 0.7037 0.0906
Br4 0.4398 0.3183 0.2500
Br5 0.6275 0.7075 0.9187
Br6 0.6317 0.1213 0.7476
```

Output
- raw total energy (eV/atom) = -5.56
- E_form (uncorrected) (eV per atom) = -1.424
- density (g cm⁻³) = 5.08

=====

20.
Compound: Pm3Sc2Ge3
Source: the Alexandria database
Functional: PBE
Structure: optimized geometry

```
data_Pm3Sc2Ge3
_space_group_name_H-M_alt 'P 63/m c m'
_space_group_IT_number 193
_space_group_name_Hall '-P 6c 2'
_cell_length_a 8.5350
_cell_length_b 8.5350
_cell_length_c 6.2106
_cell_angle_alpha 90.00
_cell_angle_beta 90.00
_cell_angle_gamma 120.00
loop_
_atom_site_label
_atom_site_fract_x
_atom_site_fract_y
_atom_site_fract_z
Pm1 0.0000 0.2501 0.2500
Sc1 0.3333 0.6667 0.0000
Ge1 0.0000 0.3975 0.7500
```

Output
- raw total energy (eV/atom) = -5.85
- energy of formation from the pure elements (eV per atom) = -0.75
- density (g cm⁻³) = 6.30
- polymorph energy (0 for the lowest one) (eV/atom) = 0.000